Record 1
The following is a GGA-PBE calculation of crystalline PuAgH2F6 at its relaxed geometry, from Alexandria via LeMat-Bulk.

Summary:
Total energy (eV per cell): -57.501
Magnetization (μB per formula unit): 5.00
DOS(E_F) (states/eV/f.u.): 5.7
Calculated volume (Å³/cell): 135

Cell lengths 5.836, 5.836, 7.037 Å; angles 124.93, 124.93, 46.16 degrees
Fractional coordinates of all 10 atoms:
Pu (0.000, 0.000, 0.000)
Ag (0.500, 0.500, 0.500)
H (0.239, 0.239, 0.871)
H (0.761, 0.761, 0.129)
F (0.105, 0.105, 0.783)
F (0.245, 0.245, 0.343)
F (0.372, 0.372, 0.967)
F (0.628, 0.628, 0.033)
F (0.755, 0.755, 0.657)
F (0.895, 0.895, 0.217)

Record 2
The following is a GGA-PBE calculation of crystalline YBe2Se at its relaxed geometry, from Alexandria via LeMat-Bulk.

Summary:
Total energy (eV per cell): -17.080
Magnetization (μB per formula unit): 0.00
DOS(E_F) (states/eV/f.u.): 2.7
Calculated volume (Å³/cell): 68
E_form (uncorrected) (eV/atom): 0.080

Cell lengths 5.425, 5.425, 5.425 Å; angles 43.41, 43.41, 43.41 degrees
Fractional coordinates of all 4 atoms:
Y (0.000, 0.000, 0.000)
Be (0.208, 0.208, 0.208)
Be (0.792, 0.792, 0.792)
Se (0.500, 0.500, 0.500)

Record 3
The following is a GGA-PBE calculation of crystalline SiCl at its relaxed geometry, from Alexandria via LeMat-Bulk.

Summary:
Total energy (eV per cell): -11.516
Magnetization (μB per formula unit): 0.00
DOS(E_F) (states/eV/f.u.): 1.9
Calculated volume (Å³/cell): 114
E_form (uncorrected) (eV/atom): 0.756

Cell lengths 4.793, 4.793, 5.706 Å; angles 90.00, 90.00, 120.00 degrees
Fractional coordinates of all 4 atoms:
Si (0.333, 0.667, 0.250)
Si (0.667, 0.333, 0.750)
Cl (0.333, 0.667, 0.750)
Cl (0.667, 0.333, 0.250)

Record 4
The following is a GGA-PBE calculation of crystalline La2Pm8Pr3 at its relaxed geometry, from Alexandria via LeMat-Bulk.

Summary:
Total energy (eV per cell): -59.359
Formation enthalpy at 0 K (eV per atom): 0.2184
Magnetization (μB per formula unit): 0.00
DOS(E_F) (states/eV/f.u.): 21.9
Calculated volume (Å³/cell): 475

Cell lengths 11.253, 11.253, 5.790 Å; angles 90.05, 90.05, 40.38 degrees
Fractional coordinates of all 13 atoms:
La (0.243, 0.243, 0.498)
La (0.757, 0.757, 0.502)
Pm (0.132, 0.132, 0.999)
Pm (0.186, 0.603, 0.500)
Pm (0.333, 0.333, 0.999)
Pm (0.397, 0.814, 0.500)
Pm (0.603, 0.186, 0.500)
Pm (0.667, 0.667, 0.001)
Pm (0.814, 0.397, 0.500)
Pm (0.868, 0.868, 0.001)
Pr (0.000, 0.000, 0.500)
Pr (0.290, 0.710, 0.000)
Pr (0.710, 0.290, 0.000)

Record 5
The following is a GGA-PBE calculation of crystalline AlP2 at its relaxed geometry, from Alexandria via LeMat-Bulk.

Summary:
Total energy (eV per cell): -27.766
Formation enthalpy at 0 K (eV per atom): 0.2265
Magnetization (μB per formula unit): 0.00
DOS(E_F) (states/eV/f.u.): 1.1
Calculated volume (Å³/cell): 96

Cell lengths 7.072, 7.072, 4.141 Å; angles 90.00, 90.00, 152.38 degrees
Fractional coordinates of all 6 atoms:
Al (0.118, 0.882, 0.750)
Al (0.882, 0.118, 0.250)
P (0.251, 0.749, 0.250)
P (0.464, 0.536, 0.750)
P (0.536, 0.464, 0.250)
P (0.749, 0.251, 0.750)

Record 6
The following is a GGA-PBE calculation of crystalline NaTc3Sn at its relaxed geometry, from Alexandria via LeMat-Bulk.

Summary:
Total energy (eV per cell): -25.594
Formation enthalpy at 0 K (eV per atom): 2.1652
Magnetization (μB per formula unit): 5.79
DOS(E_F) (states/eV/f.u.): 2.3
Calculated volume (Å³/cell): 96

Cell lengths 4.575, 4.575, 4.575 Å; angles 90.00, 90.00, 90.00 degrees
Fractional coordinates of all 5 atoms:
Na (0.000, 0.000, 0.000)
Tc (0.000, 0.000, 0.500)
Tc (0.000, 0.500, 0.000)
Tc (0.500, 0.000, 0.000)
Sn (0.500, 0.500, 0.500)

Record 7
The following is a GGA-PBE calculation of crystalline Tl2Ge2Pb at its relaxed geometry, from Alexandria via LeMat-Bulk.

Summary:
Total energy (eV per cell): -16.436
Formation enthalpy at 0 K (eV per atom): 0.2479
Magnetization (μB per formula unit): 0.00
DOS(E_F) (states/eV/f.u.): 3.0
Calculated volume (Å³/cell): 142

Cell lengths 7.501, 7.501, 7.501 Å; angles 144.47, 144.47, 51.12 degrees
Fractional coordinates of all 5 atoms:
Tl (0.250, 0.750, 0.500)
Tl (0.750, 0.250, 0.500)
Ge (0.091, 0.091, 0.000)
Ge (0.909, 0.909, 0.000)
Pb (0.500, 0.500, 0.000)

Record 8
The following is a GGA-PBE calculation of crystalline AuSe3 at its relaxed geometry, from Alexandria via LeMat-Bulk.

Summary:
Total energy (eV per cell): -12.789
Magnetization (μB per formula unit): 0.00
DOS(E_F) (states/eV/f.u.): 2.7
Calculated volume (Å³/cell): 114
E_form (uncorrected) (eV/atom): 0.235

Cell lengths 5.873, 5.873, 5.873 Å; angles 143.10, 102.43, 89.15 degrees
Fractional coordinates of all 4 atoms:
Au (0.000, 0.000, 0.000)
Se (0.245, 0.500, 0.745)
Se (0.500, 0.000, 0.500)
Se (0.755, 0.500, 0.255)

Record 9
The following is a GGA-PBE calculation of crystalline KAs2Se at its relaxed geometry, from Alexandria via LeMat-Bulk.

Summary:
Total energy (eV per cell): -14.271
Magnetization (μB per formula unit): 0.00
DOS(E_F) (states/eV/f.u.): 1.4
Calculated volume (Å³/cell): 98
E_form (uncorrected) (eV/atom): -0.097

Cell lengths 2.961, 5.512, 6.003 Å; angles 90.00, 90.00, 90.00 degrees
Fractional coordinates of all 4 atoms:
K (0.000, 0.000, 0.000)
As (0.500, 0.500, 0.299)
As (0.500, 0.500, 0.701)
Se (0.500, 0.000, 0.500)

Record 10
The following is a GGA-PBE calculation of crystalline TmSnPdRh at its relaxed geometry, from Alexandria via LeMat-Bulk.

Summary:
Total energy (eV per cell): -24.393
Formation enthalpy at 0 K (eV per atom): -0.8435
Magnetization (μB per formula unit): 0.00
DOS(E_F) (states/eV/f.u.): 2.8
Calculated volume (Å³/cell): 74

Cell lengths 4.714, 4.714, 4.714 Å; angles 60.00, 60.00, 60.00 degrees
Fractional coordinates of all 4 atoms:
Tm (0.000, 0.000, 0.000)
Sn (0.500, 0.500, 0.500)
Pd (0.250, 0.250, 0.250)
Rh (0.750, 0.750, 0.750)

Record 11
The following is a GGA-PBE calculation of crystalline Zr2MnPb2 at its relaxed geometry, from Alexandria via LeMat-Bulk.

Summary:
Total energy (eV per cell): -66.179
Formation enthalpy at 0 K (eV per atom): 0.1186
Magnetization (μB per formula unit): 2.77
DOS(E_F) (states/eV/f.u.): 4.4
Calculated volume (Å³/cell): 230

Cell lengths 7.335, 7.335, 4.270 Å; angles 90.00, 90.00, 90.00 degrees
Fractional coordinates of all 10 atoms:
Zr (0.163, 0.337, 0.000)
Zr (0.337, 0.837, 0.000)
Zr (0.663, 0.163, 0.000)
Zr (0.837, 0.663, 0.000)
Mn (0.000, 0.000, 0.500)
Mn (0.500, 0.500, 0.500)
Pb (0.146, 0.646, 0.500)
Pb (0.354, 0.146, 0.500)
Pb (0.646, 0.854, 0.500)
Pb (0.854, 0.354, 0.500)

Record 12
The following is a GGA-PBE calculation of crystalline Mg2ScIn at its relaxed geometry, from Alexandria via LeMat-Bulk.

Summary:
Total energy (eV per cell): -12.802
Formation enthalpy at 0 K (eV per atom): -0.1356
Magnetization (μB per formula unit): 0.46
DOS(E_F) (states/eV/f.u.): 2.2
Calculated volume (Å³/cell): 91

Cell lengths 3.516, 3.516, 7.372 Å; angles 90.00, 90.00, 90.00 degrees
Fractional coordinates of all 4 atoms:
Mg (0.000, 0.000, 0.000)
Mg (0.500, 0.500, 0.238)
Sc (0.000, 0.000, 0.500)
In (0.500, 0.500, 0.758)